# CeMg3, PBEsol geometry, DFT meta-GGA SCAN
# ρ = 3506 kg/m³
# ΔE_f = 0.01 eV/f.u.
# Total energy = -118.96 eV for the cell shown
data_CeMg3
_chemical_formula_sum 'Ce2 Mg6'
_cell_length_a 6.7097
_cell_length_b 6.7097
_cell_length_c 5.1751
_cell_angle_alpha 90.00
_cell_angle_beta 90.00
_cell_angle_gamma 120.00
_symmetry_space_group_name_H-M 'P 63/m m c'
_symmetry_Int_Tables_number 194
_symmetry_space_group_name_Hall '-P 6c 2c'
loop_
_atom_site_label
_atom_site_type_symbol
_atom_site_fract_x
_atom_site_fract_y
_atom_site_fract_z
Ce1 Ce 0.3333 0.6667 0.2500
Mg1 Mg 0.1642 0.3284 0.7500